[1]
A geometry-optimized K4DyTm structure, computed with PBE-GGA.

final energy	-1.78	eV/atom
crystal system	orthorhombic
theoretical density	2719	kg/m³
V	49.65	Å³ per atom
space group	Amm2

Cell and atoms, written as extended XYZ:
```
6
Lattice="7.4535 0.0000 0.0000 0.0000 1.9073 10.4781 0.0000 -1.9073 10.4781" Properties=species:S:1:pos:R:3 pbc="T T T"
K 0.0000 0.0000 0.0000
K 0.0000 0.0000 6.8739
K 0.0000 0.0000 13.7657
K 3.7268 0.0000 17.3981
Dy 3.7268 0.0000 3.0265
Tm 3.7268 0.0000 10.7576
```

---

[2]
A geometry-optimized KDyU structure, computed with PBE-GGA.

final energy	-3.78	eV/atom
crystal system	cubic
theoretical density	5401	kg/m³
V	45.06	Å³ per atom
energy above the lowest structure with this stoichiometry	0	meV/atom
space group	F-43m

Cell and atoms, written as extended XYZ:
```
3
Lattice="0.0000 4.0733 4.0733 4.0733 0.0000 4.0733 4.0733 4.0733 0.0000" Properties=species:S:1:pos:R:3 pbc="T T T"
K 0.0000 0.0000 0.0000
Dy 2.0366 2.0366 2.0366
U 4.0733 4.0733 4.0733
```

---

[3]
A geometry-optimized KDyW structure, computed with PBE-GGA.

final energy	-3.77	eV/atom
crystal system	cubic
theoretical density	7080	kg/m³
V	30.13	Å³ per atom
space group	F-43m

Cell and atoms, written as extended XYZ:
```
3
Lattice="0.0000 3.5622 3.5622 3.5622 0.0000 3.5622 3.5622 3.5622 0.0000" Properties=species:S:1:pos:R:3 pbc="T T T"
K 0.0000 0.0000 0.0000
Dy 5.3433 5.3433 5.3433
W 1.7811 1.7811 1.7811
```

---

[4]
A geometry-optimized KDyY structure, computed with PBE-GGA.

final energy	-2.87	eV/atom
crystal system	cubic
theoretical density	3330	kg/m³
V	48.29	Å³ per atom
energy above the lowest structure with this stoichiometry	0	meV/atom
space group	F-43m

Cell and atoms, written as extended XYZ:
```
3
Lattice="0.0000 4.1684 4.1684 4.1684 0.0000 4.1684 4.1684 4.1684 0.0000" Properties=species:S:1:pos:R:3 pbc="T T T"
K 0.0000 0.0000 0.0000
Dy 4.1684 4.1684 4.1684
Y 6.2526 6.2526 6.2526
```